1.
Material: YPO2
Method: DFT, PBE
State: relaxed

a b c (Å): 6.360 6.360 6.360
angles (deg): 31.53 31.53 31.53
Fractional positions:
O 0.893 0.893 0.893
O 0.107 0.107 0.107
Y 0.500 0.500 0.500
P 0.000 0.000 0.000

Output
Space-group type = R-3m
M_tot = 0.0 μB/cell
E_tot = -7.451 eV per atom
Uncorrected formation energy = -773.4 kJ/mol of formula units

2.
Material: Y5P4O
Method: DFT, PBE
State: relaxed

a b c (Å): 5.627 6.785 6.785
angles (deg): 80.10 65.50 65.50
Fractional positions:
P 0.598 0.604 0.203
P 0.405 0.396 0.797
P 0.202 0.203 0.396
P 0.801 0.797 0.604
Y 0.100 0.612 0.192
Y 0.292 0.808 0.612
Y 0.447 0.000 0.000
Y 0.904 0.388 0.808
Y 0.711 0.192 0.388
O 0.050 0.000 0.000

Output
Space-group type = I4
M_tot = 0.0 μB/cell
E_tot = -7.727 eV per atom
Uncorrected formation energy = -1770.6 kJ/mol of formula units

3.
Material: Y3PO
Method: DFT, PBE
State: relaxed

a b c (Å): 4.635 4.635 4.635
angles (deg): 90.00 90.00 90.00
Fractional positions:
Y 0.000 0.500 0.000
Y 0.000 0.000 0.500
Y 0.500 0.000 0.000
P 0.500 0.500 0.500
O 0.000 0.000 0.000

Output
Energy relative to the lowest polymorph listed for this composition = 0.00 kcal/mol of atoms
Space-group type = Pm-3m
M_tot = 0.0 μB/cell
E_tot = -7.267 eV per atom
Uncorrected formation energy = -634.2 kJ/mol of formula units

4.
Material: YP3O9
Method: DFT, PBE
State: relaxed

a b c (Å): 20.401 10.254 11.515
angles (deg): 82.28 90.00 90.00
Fractional positions:
O 0.432 0.411 0.875
O 0.910 0.535 0.843
O 0.932 0.089 0.125
O 0.411 0.958 0.381
O 0.327 0.608 0.753
O 0.744 0.533 0.361
O 0.719 0.975 0.161
O 0.068 0.911 0.875
O 0.268 0.268 0.201
O 0.172 0.120 0.242
O 0.583 0.479 0.873
O 0.878 0.310 0.058
O 0.925 0.920 0.379
O 0.378 0.190 0.942
O 0.911 0.542 0.619
O 0.090 0.465 0.157
O 0.744 0.099 0.632
O 0.259 0.067 0.097
O 0.805 0.320 0.593
O 0.732 0.732 0.799
O 0.408 0.786 0.725
O 0.358 0.375 0.288
O 0.037 0.790 0.544
O 0.281 0.025 0.839
O 0.185 0.269 0.045
O 0.995 0.364 0.271
O 0.827 0.892 0.247
O 0.305 0.180 0.407
O 0.017 0.194 0.892
O 0.606 0.732 0.277
O 0.432 0.548 0.345
O 0.894 0.232 0.277
O 0.219 0.525 0.839
O 0.244 0.401 0.368
O 0.417 0.521 0.127
O 0.398 0.076 0.607
O 0.898 0.424 0.393
O 0.589 0.042 0.619
O 0.241 0.567 0.097
O 0.015 0.612 0.257
O 0.568 0.589 0.125
O 0.075 0.417 0.890
O 0.315 0.769 0.045
O 0.838 0.743 0.443
O 0.195 0.680 0.407
O 0.925 0.583 0.110
O 0.673 0.392 0.247
O 0.575 0.083 0.110
O 0.672 0.380 0.758
O 0.463 0.290 0.544
O 0.483 0.694 0.892
O 0.083 0.021 0.127
O 0.256 0.901 0.368
O 0.328 0.620 0.242
O 0.858 0.125 0.712
O 0.756 0.033 0.361
O 0.162 0.257 0.557
O 0.828 0.880 0.758
O 0.695 0.820 0.593
O 0.394 0.268 0.723
O 0.173 0.108 0.753
O 0.592 0.214 0.275
O 0.685 0.231 0.955
O 0.662 0.243 0.443
O 0.759 0.433 0.903
O 0.932 0.952 0.655
O 0.122 0.690 0.942
O 0.983 0.806 0.108
O 0.244 0.967 0.639
O 0.075 0.080 0.621
O 0.768 0.232 0.799
O 0.908 0.714 0.275
O 0.311 0.369 0.833
O 0.815 0.731 0.955
O 0.602 0.924 0.393
O 0.092 0.286 0.725
O 0.642 0.625 0.712
O 0.485 0.112 0.257
O 0.537 0.710 0.456
O 0.568 0.452 0.655
O 0.590 0.035 0.843
O 0.495 0.136 0.729
O 0.232 0.768 0.201
O 0.425 0.917 0.890
O 0.811 0.131 0.167
O 0.338 0.757 0.557
O 0.005 0.636 0.729
O 0.505 0.864 0.271
O 0.963 0.210 0.456
O 0.756 0.599 0.632
O 0.917 0.979 0.873
O 0.689 0.631 0.167
O 0.142 0.875 0.288
O 0.575 0.420 0.379
O 0.068 0.048 0.345
O 0.517 0.306 0.108
O 0.410 0.965 0.157
O 0.256 0.467 0.639
O 0.985 0.388 0.743
O 0.622 0.810 0.058
O 0.089 0.458 0.381
O 0.106 0.768 0.723
O 0.781 0.475 0.161
O 0.102 0.576 0.607
O 0.741 0.933 0.903
O 0.189 0.869 0.833
O 0.515 0.888 0.743
O 0.425 0.580 0.621
P 0.774 0.007 0.240
P 0.552 0.027 0.733
P 0.780 0.823 0.864
P 0.274 0.493 0.760
P 0.052 0.473 0.267
P 0.710 0.696 0.674
P 0.790 0.196 0.674
P 0.124 0.178 0.653
P 0.111 0.018 0.247
P 0.389 0.518 0.247
P 0.448 0.973 0.267
P 0.210 0.804 0.326
P 0.226 0.993 0.760
P 0.220 0.177 0.136
P 0.937 0.310 0.360
P 0.563 0.810 0.360
P 0.624 0.322 0.347
P 0.883 0.192 0.149
P 0.063 0.690 0.640
P 0.889 0.982 0.753
P 0.376 0.678 0.653
P 0.948 0.527 0.733
P 0.280 0.677 0.136
P 0.043 0.318 0.824
P 0.957 0.682 0.176
P 0.457 0.818 0.824
P 0.383 0.308 0.851
P 0.720 0.323 0.864
P 0.117 0.808 0.851
P 0.290 0.304 0.326
P 0.543 0.182 0.176
P 0.617 0.692 0.149
P 0.611 0.482 0.753
P 0.726 0.507 0.240
P 0.437 0.190 0.640
P 0.876 0.822 0.347
Y 0.176 0.476 0.498
Y 0.676 0.024 0.502
Y 0.000 0.000 0.000
Y 0.344 0.984 0.000
Y 0.156 0.484 0.000
Y 0.824 0.524 0.502
Y 0.000 0.000 0.500
Y 0.500 0.500 0.500
Y 0.324 0.976 0.498
Y 0.500 0.500 0.000
Y 0.656 0.016 0.000
Y 0.844 0.516 0.000

Output
Energy relative to the lowest polymorph listed for this composition = 0.12 kcal/mol of atoms
Space-group type = P2_1/c
M_tot = 0.0 μB/cell
E_tot = -7.704 eV per atom
Uncorrected formation energy = -3168.5 kJ/mol of formula units

5.
Material: YPO5
Method: DFT, PBE
State: relaxed

a b c (Å): 5.226 5.226 7.169
angles (deg): 70.09 70.09 71.23
Site moments in Bohr magnetons follow the coordinates.
Fractional positions:
O 0.934 0.066 0.250  0.10
O 0.224 0.195 0.395  0.15
O 0.066 0.934 0.750  0.10
O 0.805 0.776 0.105  0.15
O 0.195 0.224 0.895  0.15
O 0.740 0.278 0.531  0.10
O 0.260 0.722 0.469  0.10
O 0.278 0.740 0.031  0.10
O 0.776 0.805 0.605  0.15
O 0.722 0.260 0.969  0.10
Y 0.549 0.451 0.250  0.00
Y 0.451 0.549 0.750  0.00
P 0.000 0.000 0.000  -0.01
P 0.000 0.000 0.500  -0.01

Output
Space-group type = C2/c
M_tot = 1.4 μB/cell
E_tot = -7.268 eV per atom
Uncorrected formation energy = -1371.0 kJ/mol of formula units

6.
Material: YP2O2
Method: DFT, PBE
State: relaxed

a b c (Å): 9.967 9.967 9.967
angles (deg): 115.71 115.71 97.60
Fractional positions:
O 0.715 0.021 0.306
O 0.035 0.841 0.806
O 0.771 0.965 0.806
O 0.979 0.285 0.694
O 0.035 0.229 0.194
O 0.159 0.965 0.194
O 0.715 0.409 0.694
O 0.591 0.285 0.306
Y 0.375 0.125 0.250
Y 0.875 0.125 0.750
Y 0.875 0.625 0.750
Y 0.875 0.125 0.250
P 0.616 0.223 0.607
P 0.134 0.241 0.107
P 0.973 0.866 0.107
P 0.134 0.027 0.893
P 0.991 0.384 0.607
P 0.759 0.866 0.893
P 0.616 0.009 0.393
P 0.777 0.384 0.393

Output
Energy relative to the lowest polymorph listed for this composition = 0.00 kcal/mol of atoms
Space-group type = I4_1/amd
M_tot = 0.0 μB/cell
E_tot = -6.791 eV per atom
Uncorrected formation energy = -651.8 kJ/mol of formula units

> Which formula does entry 4 have?

YP3O9

> What is the formula in the fourth record?

YP3O9